Record 1
Below is TlCd2Sb after structural relaxation, with properties calculated at the GGA-PBE level.

Values from the calculation:
total magnetization = 0.0 μB/f.u.
E above lowest polymorph = 102 meV per atom
final energy = -2.000 eV per atom

Cell lengths 3.390, 5.407, 6.040 Å; angles 90.00, 90.04, 90.00 degrees
Atoms (fractional coordinates):
Tl: 0.000 0.000 0.000
Cd: 0.498 0.000 0.496
Cd: 0.499 0.500 0.241
Sb: 0.503 0.500 0.746

Record 2
Below is TlCdSb2 after structural relaxation, with properties calculated at the GGA-PBE level.

Values from the calculation:
total magnetization = 0.0 μB/f.u.
E above lowest polymorph = 13 meV per atom
final energy = -2.795 eV per atom

Cell lengths 6.538, 6.538, 6.538 Å; angles 144.37, 132.82, 60.49 degrees
Atoms (fractional coordinates):
Tl: 0.000 0.000 0.000
Cd: 0.292 0.792 0.500
Sb: 0.541 0.541 0.000
Sb: 0.733 0.233 0.500

Record 3
Below is TlCd2Sb after structural relaxation, with properties calculated at the GGA-PBE level.

Values from the calculation:
total magnetization = 0.0 μB/f.u.
E above lowest polymorph = 133 meV per atom
final energy = -1.969 eV per atom

Cell lengths 6.773, 6.773, 6.773 Å; angles 102.55, 102.55, 124.44 degrees
Atoms (fractional coordinates):
Tl: 0.000 0.000 0.000
Tl: 0.750 0.250 0.500
Cd: 0.148 0.625 0.023
Cd: 0.375 0.398 0.523
Cd: 0.602 0.125 0.977
Cd: 0.875 0.852 0.477
Sb: 0.250 0.750 0.500
Sb: 0.500 0.500 0.000

Record 4
Below is Tl15CdSb4 after structural relaxation, with properties calculated at the GGA-PBE level.

Values from the calculation:
total magnetization = 0.0 μB/f.u.
final energy = -2.639 eV per atom

Cell lengths 4.991, 4.991, 24.598 Å; angles 90.00, 90.00, 90.00 degrees
Atoms (fractional coordinates):
Tl: 0.000 0.000 0.000
Tl: 0.000 0.000 0.203
Tl: 0.000 0.000 0.400
Tl: 0.000 0.000 0.600
Tl: 0.000 0.000 0.797
Tl: 0.000 0.500 0.102
Tl: 0.000 0.500 0.300
Tl: 0.000 0.500 0.500
Tl: 0.000 0.500 0.700
Tl: 0.000 0.500 0.898
Tl: 0.500 0.000 0.102
Tl: 0.500 0.000 0.300
Tl: 0.500 0.000 0.500
Tl: 0.500 0.000 0.700
Tl: 0.500 0.000 0.898
Cd: 0.500 0.500 0.000
Sb: 0.500 0.500 0.194
Sb: 0.500 0.500 0.397
Sb: 0.500 0.500 0.603
Sb: 0.500 0.500 0.806

Record 5
Below is Tl2Cd2Sb after structural relaxation, with properties calculated at the GGA-PBE level.

Values from the calculation:
total magnetization = 0.0 μB/f.u.
E above lowest polymorph = 0 meV per atom
final energy = -2.111 eV per atom

Cell lengths 7.604, 7.604, 5.108 Å; angles 90.00, 90.00, 90.00 degrees
Atoms (fractional coordinates):
Tl: 0.175 0.325 0.000
Tl: 0.325 0.825 0.000
Tl: 0.675 0.175 0.000
Tl: 0.825 0.675 0.000
Cd: 0.132 0.632 0.500
Cd: 0.368 0.132 0.500
Cd: 0.632 0.868 0.500
Cd: 0.868 0.368 0.500
Sb: 0.000 0.000 0.500
Sb: 0.500 0.500 0.500

Record 6
Below is TlCd2Sb after structural relaxation, with properties calculated at the GGA-PBE level.

Values from the calculation:
total magnetization = 0.0 μB/f.u.
E above lowest polymorph = 111 meV per atom
final energy = -1.990 eV per atom

Cell lengths 3.359, 3.359, 9.571 Å; angles 90.00, 90.00, 99.43 degrees
Atoms (fractional coordinates):
Tl: 0.000 0.000 0.000
Cd: 0.500 0.500 0.255
Cd: 0.500 0.500 0.745
Sb: 0.000 0.000 0.500

Record 7
Below is TlCd4Sb3 after structural relaxation, with properties calculated at the GGA-PBE level.

Values from the calculation:
total magnetization = 0.0 μB/f.u.
final energy = -2.340 eV per atom

Cell lengths 12.595, 12.595, 12.595 Å; angles 22.03, 22.03, 22.03 degrees
Atoms (fractional coordinates):
Tl: 0.000 0.000 0.000
Cd: 0.200 0.200 0.200
Cd: 0.411 0.411 0.411
Cd: 0.589 0.589 0.589
Cd: 0.800 0.800 0.800
Sb: 0.278 0.278 0.278
Sb: 0.500 0.500 0.500
Sb: 0.722 0.722 0.722

Record 8
Below is Tl2Cd2Sb3 after structural relaxation, with properties calculated at the GGA-PBE level.

Values from the calculation:
total magnetization = 0.0 μB/f.u.
final energy = -2.678 eV per atom

Cell lengths 11.728, 11.728, 7.553 Å; angles 90.00, 90.00, 155.36 degrees
Atoms (fractional coordinates):
Tl: 0.062 0.938 0.750
Tl: 0.142 0.858 0.250
Tl: 0.858 0.142 0.750
Tl: 0.938 0.062 0.250
Cd: 0.309 0.691 0.036
Cd: 0.309 0.691 0.464
Cd: 0.691 0.309 0.536
Cd: 0.691 0.309 0.964
Sb: 0.221 0.779 0.750
Sb: 0.436 0.564 0.555
Sb: 0.436 0.564 0.945
Sb: 0.564 0.436 0.055
Sb: 0.564 0.436 0.445
Sb: 0.779 0.221 0.250

Record 9
Below is TlCdSb2 after structural relaxation, with properties calculated at the GGA-PBE level.

Values from the calculation:
total magnetization = 0.0 μB/f.u.
E above lowest polymorph = 78 meV per atom
final energy = -2.729 eV per atom

Cell lengths 3.201, 3.201, 10.896 Å; angles 90.00, 90.00, 90.00 degrees
Atoms (fractional coordinates):
Tl: 0.000 0.000 0.000
Cd: 0.500 0.500 0.250
Sb: 0.000 0.000 0.480
Sb: 0.500 0.500 0.743

Record 10
Below is TlCdSb after structural relaxation, with properties calculated at the GGA-PBE level.

Values from the calculation:
total magnetization = 0.0 μB/f.u.
E above lowest polymorph = 30 meV per atom
final energy = -2.519 eV per atom

Cell lengths 4.741, 4.740, 8.205 Å; angles 90.00, 90.36, 90.00 degrees
Atoms (fractional coordinates):
Tl: 0.248 0.250 0.147
Tl: 0.752 0.750 0.853
Cd: 0.250 0.750 0.500
Cd: 0.750 0.250 0.500
Sb: 0.253 0.250 0.725
Sb: 0.747 0.750 0.275

Record 11
Below is TlCdSb2 after structural relaxation, with properties calculated at the GGA-PBE level.

Values from the calculation:
total magnetization = 0.0 μB/f.u.
E above lowest polymorph = 72 meV per atom
final energy = -2.735 eV per atom

Cell lengths 3.316, 3.316, 10.791 Å; angles 90.00, 90.00, 109.97 degrees
Atoms (fractional coordinates):
Tl: 0.000 0.000 0.000
Cd: 0.500 0.500 0.747
Sb: 0.000 0.000 0.507
Sb: 0.500 0.500 0.268

Record 12
Below is Tl12Cd5Sb3 after structural relaxation, with properties calculated at the GGA-PBE level.

Values from the calculation:
total magnetization = 0.0 μB/f.u.
final energy = -2.139 eV per atom

Cell lengths 15.614, 15.614, 15.614 Å; angles 109.47, 109.47, 109.47 degrees
Atoms (fractional coordinates):
Tl: 0.058 0.225 0.136
Tl: 0.058 0.334 0.922
Tl: 0.078 0.636 0.412
Tl: 0.078 0.942 0.666
Tl: 0.088 0.725 0.666
Tl: 0.088 0.864 0.422
Tl: 0.136 0.058 0.225
Tl: 0.136 0.578 0.912
Tl: 0.166 0.225 0.588
Tl: 0.166 0.442 0.578
Tl: 0.225 0.136 0.058
Tl: 0.225 0.588 0.166
Tl: 0.275 0.334 0.912
Tl: 0.275 0.442 0.364
Tl: 0.334 0.912 0.275
Tl: 0.334 0.922 0.058
Tl: 0.364 0.275 0.442
Tl: 0.364 0.588 0.922
Tl: 0.412 0.078 0.636
Tl: 0.412 0.834 0.775
Tl: 0.422 0.088 0.864
Tl: 0.422 0.834 0.558
Tl: 0.442 0.364 0.275
Tl: 0.442 0.578 0.166
Tl: 0.558 0.422 0.834
Tl: 0.558 0.636 0.725
Tl: 0.578 0.166 0.442
Tl: 0.578 0.912 0.136
Tl: 0.588 0.166 0.225
Tl: 0.588 0.922 0.364
Tl: 0.636 0.412 0.078
Tl: 0.636 0.725 0.558
Tl: 0.666 0.078 0.942
Tl: 0.666 0.088 0.725
Tl: 0.725 0.558 0.636
Tl: 0.725 0.666 0.088
Tl: 0.775 0.412 0.834
Tl: 0.775 0.864 0.942
Tl: 0.834 0.558 0.422
Tl: 0.834 0.775 0.412
Tl: 0.864 0.422 0.088
Tl: 0.864 0.942 0.775
Tl: 0.912 0.136 0.578
Tl: 0.912 0.275 0.334
Tl: 0.922 0.058 0.334
Tl: 0.922 0.364 0.588
Tl: 0.942 0.666 0.078
Tl: 0.942 0.775 0.864
Cd: 0.000 0.000 0.000
Cd: 0.000 0.000 0.500
Cd: 0.000 0.500 0.000
Cd: 0.000 0.500 0.500
Cd: 0.125 0.750 0.875
Cd: 0.125 0.875 0.250
Cd: 0.250 0.125 0.875
Cd: 0.250 0.625 0.375
Cd: 0.375 0.250 0.625
Cd: 0.375 0.625 0.750
Cd: 0.500 0.000 0.000
Cd: 0.500 0.000 0.500
Cd: 0.500 0.500 0.000
Cd: 0.500 0.500 0.500
Cd: 0.625 0.375 0.250
Cd: 0.625 0.750 0.375
Cd: 0.750 0.375 0.625
Cd: 0.750 0.875 0.125
Cd: 0.875 0.125 0.750
Cd: 0.875 0.250 0.125
Sb: 0.125 0.250 0.375
Sb: 0.125 0.375 0.750
Sb: 0.250 0.375 0.125
Sb: 0.250 0.875 0.625
Sb: 0.375 0.125 0.250
Sb: 0.375 0.750 0.125
Sb: 0.625 0.250 0.875
Sb: 0.625 0.875 0.750
Sb: 0.750 0.125 0.375
Sb: 0.750 0.625 0.875
Sb: 0.875 0.625 0.250
Sb: 0.875 0.750 0.625

Record 13
Below is TlCdSb2 after structural relaxation, with properties calculated at the GGA-PBE level.

Values from the calculation:
total magnetization = 0.0 μB/f.u.
E above lowest polymorph = 9 meV per atom
final energy = -2.799 eV per atom

Cell lengths 10.838, 10.838, 10.838 Å; angles 18.53, 18.53, 18.53 degrees
Atoms (fractional coordinates):
Tl: 0.000 0.000 0.000
Cd: 0.500 0.500 0.500
Sb: 0.240 0.240 0.240
Sb: 0.760 0.760 0.760

Record 14
Below is TlCdSb after structural relaxation, with properties calculated at the GGA-PBE level.

Values from the calculation:
total magnetization = 0.0 μB/f.u.
E above lowest polymorph = 105 meV per atom
final energy = -2.443 eV per atom

Cell lengths 5.292, 5.292, 3.501 Å; angles 90.00, 90.00, 120.00 degrees
Atoms (fractional coordinates):
Tl: 0.000 0.000 0.000
Cd: 0.667 0.333 0.500
Sb: 0.333 0.667 0.500

Record 15
Below is TlCdSb after structural relaxation, with properties calculated at the GGA-PBE level.

Values from the calculation:
total magnetization = 0.0 μB/f.u.
E above lowest polymorph = 195 meV per atom
final energy = -2.354 eV per atom

Cell lengths 3.412, 3.412, 8.201 Å; angles 90.00, 90.00, 120.00 degrees
Atoms (fractional coordinates):
Tl: 0.000 0.000 0.000
Cd: 0.667 0.333 0.331
Sb: 0.333 0.667 0.643

Record 16
Below is TlCdSb4 after structural relaxation, with properties calculated at the GGA-PBE level.

Values from the calculation:
total magnetization = 0.0 μB/f.u.
final energy = -3.155 eV per atom

Cell lengths 6.348, 6.348, 6.348 Å; angles 60.00, 60.00, 60.00 degrees
Atoms (fractional coordinates):
Tl: 0.000 0.000 0.000
Cd: 0.750 0.750 0.750
Sb: 0.376 0.376 0.376
Sb: 0.376 0.376 0.873
Sb: 0.376 0.873 0.376
Sb: 0.873 0.376 0.376

Record 17
Below is TlCdSb2 after structural relaxation, with properties calculated at the GGA-PBE level.

Values from the calculation:
total magnetization = 0.0 μB/f.u.
E above lowest polymorph = 105 meV per atom
final energy = -2.702 eV per atom

Cell lengths 5.384, 5.384, 5.384 Å; angles 60.00, 60.00, 60.00 degrees
Atoms (fractional coordinates):
Tl: 0.000 0.000 0.000
Cd: 0.500 0.500 0.500
Sb: 0.250 0.250 0.250
Sb: 0.750 0.750 0.750

Record 18
Below is TlCd2Sb after structural relaxation, with properties calculated at the GGA-PBE level.

Values from the calculation:
total magnetization = 0.0 μB/f.u.
E above lowest polymorph = 117 meV per atom
final energy = -1.984 eV per atom

Cell lengths 10.776, 10.776, 10.776 Å; angles 18.15, 18.15, 18.15 degrees
Atoms (fractional coordinates):
Tl: 0.000 0.000 0.000
Cd: 0.248 0.248 0.248
Cd: 0.504 0.504 0.504
Sb: 0.759 0.759 0.759

Record 19
Below is TlCdSb2 after structural relaxation, with properties calculated at the GGA-PBE level.

Values from the calculation:
total magnetization = 0.0 μB/f.u.
E above lowest polymorph = 77 meV per atom
final energy = -2.731 eV per atom

Cell lengths 11.286, 11.286, 11.286 Å; angles 17.27, 17.27, 17.27 degrees
Atoms (fractional coordinates):
Tl: 0.000 0.000 0.000
Cd: 0.250 0.250 0.250
Sb: 0.503 0.503 0.503
Sb: 0.755 0.755 0.755

Record 20
Below is TlCd2Sb after structural relaxation, with properties calculated at the GGA-PBE level.

Values from the calculation:
total magnetization = 0.0 μB/f.u.
E above lowest polymorph = 81 meV per atom
final energy = -2.020 eV per atom

Cell lengths 5.352, 5.352, 5.352 Å; angles 60.00, 60.00, 60.00 degrees
Atoms (fractional coordinates):
Tl: 0.000 0.000 0.000
Cd: 0.250 0.250 0.250
Cd: 0.750 0.750 0.750
Sb: 0.500 0.500 0.500

Quick rundown of formation energy (no corrections), same order as above: 0.0802 0.0869 0.1112 0.0054 0.0255 0.0900 -0.0406 0.0265 0.1521 -0.0509 0.1461 0.1283 0.0825 0.0247 0.1142 0.1400 0.1793 0.0955 0.1510 0.0594 eV/atom
Quick rundown of DOS at the Fermi energy, same order as above: 2.4 1.9 2.3 7.9 2.3 1.4 1.8 3.2 2.7 0.4 2.0 5.8 1.2 0.9 1.6 1.3 2.1 1.1 2.2 1.7 states/eV/f.u.